1.
DFT (PBE) results for crystalline PmSmCu2Se4 at its relaxed geometry.

a = 6.313 Å, b = 6.313 Å, c = 6.313 Å
α = 113.58°, β = 113.30°, γ = 101.79°
Fractional coordinates of all 8 atoms:
1 Pm 0.000 0.000 0.000
2 Sm 0.500 0.500 0.000
3 Cu 0.342 0.842 0.500
4 Cu 0.658 0.158 0.500
5 Se 0.065 0.043 0.504
6 Se 0.460 0.957 0.022
7 Se 0.540 0.562 0.496
8 Se 0.935 0.438 0.978

final energy	-5.013	eV per atom

---

2.
DFT (PBE) results for crystalline PmSm2CuSe5 at its relaxed geometry.

a = 9.215 Å, b = 9.215 Å, c = 12.098 Å
α = 90.00°, β = 90.00°, γ = 154.53°
Fractional coordinates of all 18 atoms:
1 Pm 0.194 0.806 0.500
2 Pm 0.806 0.194 0.000
3 Sm 0.106 0.894 0.174
4 Sm 0.118 0.882 0.799
5 Sm 0.882 0.118 0.299
6 Sm 0.894 0.106 0.674
7 Cu 0.437 0.563 0.945
8 Cu 0.563 0.437 0.445
9 Se 0.041 0.959 0.553
10 Se 0.290 0.710 0.172
11 Se 0.319 0.681 0.830
12 Se 0.359 0.641 0.491
13 Se 0.499 0.501 0.270
14 Se 0.501 0.499 0.770
15 Se 0.641 0.359 0.991
16 Se 0.681 0.319 0.330
17 Se 0.710 0.290 0.672
18 Se 0.959 0.041 0.053

final energy	-5.526	eV per atom

---

3.
DFT (PBE) results for crystalline PmCuSnSe3 at its relaxed geometry.

a = 8.649 Å, b = 4.085 Å, c = 9.021 Å
α = 90.00°, β = 102.58°, γ = 90.00°
Fractional coordinates of all 12 atoms:
1 Pm 0.173 0.250 0.175
2 Pm 0.827 0.750 0.825
3 Cu 0.421 0.750 0.423
4 Cu 0.579 0.250 0.577
5 Sn 0.320 0.750 0.770
6 Sn 0.680 0.250 0.230
7 Se 0.075 0.250 0.835
8 Se 0.282 0.250 0.502
9 Se 0.404 0.750 0.138
10 Se 0.596 0.250 0.862
11 Se 0.718 0.750 0.498
12 Se 0.925 0.750 0.165

final energy	-4.817	eV per atom

---

4.
DFT (PBE) results for crystalline Sr2PmCu2Se4 at its relaxed geometry.

a = 7.877 Å, b = 7.877 Å, c = 7.558 Å
α = 110.11°, β = 110.11°, γ = 29.91°
Fractional coordinates of all 9 atoms:
1 Sr 0.134 0.134 0.075
2 Sr 0.866 0.866 0.925
3 Pm 0.000 0.000 0.500
4 Cu 0.313 0.313 0.502
5 Cu 0.687 0.687 0.498
6 Se 0.207 0.207 0.713
7 Se 0.472 0.472 0.758
8 Se 0.528 0.528 0.242
9 Se 0.793 0.793 0.287

final energy	-4.626	eV per atom

---

5.
DFT (PBE) results for crystalline TbPm2CuSe5 at its relaxed geometry.

a = 9.082 Å, b = 9.082 Å, c = 12.129 Å
α = 90.00°, β = 90.00°, γ = 154.17°
Fractional coordinates of all 18 atoms:
1 Tb 0.193 0.807 0.500
2 Tb 0.807 0.193 0.000
3 Pm 0.108 0.892 0.175
4 Pm 0.122 0.878 0.799
5 Pm 0.878 0.122 0.299
6 Pm 0.892 0.108 0.675
7 Cu 0.436 0.564 0.945
8 Cu 0.564 0.436 0.445
9 Se 0.042 0.958 0.552
10 Se 0.288 0.712 0.166
11 Se 0.314 0.686 0.834
12 Se 0.357 0.643 0.491
13 Se 0.499 0.501 0.270
14 Se 0.501 0.499 0.770
15 Se 0.643 0.357 0.991
16 Se 0.686 0.314 0.334
17 Se 0.712 0.288 0.666
18 Se 0.958 0.042 0.052

final energy	-5.547	eV per atom

---

6.
DFT (PBE) results for crystalline Pm8CuTe4Se3 at its relaxed geometry.

a = 8.749 Å, b = 8.749 Å, c = 8.749 Å
α = 58.80°, β = 58.80°, γ = 58.80°
Fractional coordinates of all 16 atoms:
1 Pm 0.240 0.240 0.240
2 Pm 0.249 0.737 0.737
3 Pm 0.263 0.263 0.751
4 Pm 0.263 0.751 0.263
5 Pm 0.737 0.249 0.737
6 Pm 0.737 0.737 0.249
7 Pm 0.751 0.263 0.263
8 Pm 0.760 0.760 0.760
9 Cu 0.500 0.500 0.500
10 Te 0.000 0.000 0.000
11 Te 0.000 0.500 0.500
12 Te 0.500 0.000 0.500
13 Te 0.500 0.500 0.000
14 Se 0.000 0.000 0.500
15 Se 0.000 0.500 0.000
16 Se 0.500 0.000 0.000

final energy	-5.503	eV per atom

---

7.
DFT (PBE) results for crystalline PmTl2Cu2Se4 at its relaxed geometry.

a = 7.829 Å, b = 7.829 Å, c = 8.061 Å
α = 107.60°, β = 107.60°, γ = 29.93°
Fractional coordinates of all 9 atoms:
1 Pm 0.000 0.000 0.000
2 Tl 0.133 0.133 0.560
3 Tl 0.867 0.867 0.440
4 Cu 0.317 0.317 0.009
5 Cu 0.683 0.683 0.991
6 Se 0.204 0.204 0.178
7 Se 0.471 0.471 0.240
8 Se 0.529 0.529 0.760
9 Se 0.796 0.796 0.822

final energy	-4.247	eV per atom

---

8.
DFT (PBE) results for crystalline PmTlCuSe2 at its relaxed geometry.

a = 6.627 Å, b = 5.707 Å, c = 8.092 Å
α = 90.00°, β = 104.77°, γ = 90.00°
Fractional coordinates of all 10 atoms:
1 Pm 0.000 0.013 0.250
2 Pm 0.000 0.987 0.750
3 Tl 0.500 0.300 0.250
4 Tl 0.500 0.700 0.750
5 Cu 0.000 0.500 0.000
6 Cu 0.000 0.500 0.500
7 Se 0.257 0.217 0.560
8 Se 0.257 0.783 0.060
9 Se 0.743 0.217 0.940
10 Se 0.743 0.783 0.440

final energy	-4.363	eV per atom

---

Calculated density in g/cm³, matching the order above: 6.41, 6.80, 6.02, 5.80, 6.91, 7.11, 7.07, 6.41
Formation energy without anion corrections in meV/atom, matching the order above: -1063, -1559, -933, -1265, -1586, -1433, -734, -726
Magnetization in Bohr magnetons per cell, matching the order above: 0.0, 0.0, 0.0, 0.0, 0.0, 0.0, 0.0, 0.0